Material: GdTmMgCo
Method: DFT, PBE
State: relaxed

The electronic total energy comes out at -27.3 eV per formula unit.

The space group is F-43m (No. 216) and the conventional cell measures 7.086, 7.086 and 7.086 Å, with angles of 90.00, 90.00 and 90.00 degrees. The asymmetric unit holds Gd at (0.000, 0.000, 0.000), Tm at (0.000, 0.000, 0.500), Mg at (0.250, 0.250, 0.250) and Co at (0.250, 0.250, 0.750).

Material: GdYMgCo
Method: DFT, PBE
State: relaxed

The electronic total energy comes out at -29.3 eV per formula unit.

The space group is F-43m (No. 216) and the conventional cell measures 7.152, 7.152 and 7.152 Å, with angles of 90.00, 90.00 and 90.00 degrees. The asymmetric unit holds Gd at (0.000, 0.000, 0.000), Y at (0.000, 0.000, 0.500), Mg at (0.250, 0.250, 0.250) and Co at (0.250, 0.250, 0.750).

Material: GdMgZnCo
Method: DFT, PBE
State: relaxed

The electronic total energy comes out at -24.3 eV per formula unit.

The space group is F-43m (No. 216) and the conventional cell measures 6.685, 6.685 and 6.685 Å, with angles of 90.00, 90.00 and 90.00 degrees. The asymmetric unit holds Gd at (0.000, 0.000, 0.000), Mg at (0.000, 0.000, 0.500), Zn at (0.250, 0.250, 0.750) and Co at (0.250, 0.250, 0.250).

Material: Gd2MnCo
Method: DFT, PBE
State: relaxed

The electronic total energy comes out at -44.2 eV per formula unit.

The space group is P4/mmm (No. 123) and the conventional cell measures 3.425, 3.425 and 7.064 Å, with angles of 90.00, 90.00 and 90.00 degrees. The asymmetric unit holds Gd at (0.000, 0.000, 0.235), Mn at (0.500, 0.500, 0.500) and Co at (0.500, 0.500, 0.000).

Material: GdMnCo
Method: DFT, PBE
State: relaxed

The electronic total energy comes out at -30.3 eV per formula unit.

The space group is P-6m2 (No. 187) and the conventional cell measures 4.0026, 4.0026 and 3.9676 Å, with angles of 90.00, 90.00 and 120.00 degrees. The asymmetric unit holds Gd at (0.0000, 0.0000, 0.0000), Mn at (0.3333, 0.6667, 0.5000) and Co at (0.6667, 0.3333, 0.5000).

Material: GdMnCo4
Method: DFT, PBE
State: relaxed

The electronic total energy comes out at -51.9 eV per formula unit.

The space group is F-43m (No. 216) and the conventional cell measures 6.974, 6.974 and 6.974 Å, with angles of 90.00, 90.00 and 90.00 degrees. The asymmetric unit holds Gd at (0.000, 0.000, 0.000), Mn at (0.250, 0.250, 0.750) and Co at (0.124, 0.124, 0.376).